# PBE Si2PbAu2, relaxed
# Spin magnetization   0.00 Bohr magnetons per cell
# Calculated density   10.7 g/cm³
# Excess energy over the best structure of this formula in the dataset   55 meV per atom
# Volume   204.8 Å³ per cell
# ΔE_f (raw)   0.107 eV/atom
data_Si2PbAu2
_symmetry_space_group_name_H-M 'I 4/m m m'
_symmetry_Int_Tables_number 139
_symmetry_space_group_name_Hall '-I 4 2'
_cell_length_a 4.1601
_cell_length_b 4.1601
_cell_length_c 11.8317
_cell_angle_alpha 90.00
_cell_angle_beta 90.00
_cell_angle_gamma 90.00
loop_
_atom_site_label
_atom_site_fract_x
_atom_site_fract_y
_atom_site_fract_z
Si1 0.0000 0.5000 0.2500
Pb1 0.0000 0.0000 0.0000
Au1 0.0000 0.0000 0.3797

***

# PBE ZrTa3Nb, relaxed
# Spin magnetization   0.00 Bohr magnetons per cell
# Calculated density   10.5 g/cm³
# Excess energy over the best structure of this formula in the dataset   0 meV per atom
# Volume   115.4 Å³ per cell
# DFT formation energy   1326 meV/atom
data_ZrTa3Nb
_symmetry_space_group_name_H-M 'P m -3 m'
_symmetry_Int_Tables_number 221
_symmetry_space_group_name_Hall '-P 4 2 3'
_cell_length_a 4.8682
_cell_length_b 4.8682
_cell_length_c 4.8682
_cell_angle_alpha 90.00
_cell_angle_beta 90.00
_cell_angle_gamma 90.00
loop_
_atom_site_label
_atom_site_fract_x
_atom_site_fract_y
_atom_site_fract_z
Zr1 0.0000 0.0000 0.0000
Ta1 0.0000 0.5000 0.5000
Nb1 0.5000 0.5000 0.5000

***

# PBE Dy2Ga5Pt3, relaxed
# Spin magnetization   0.00 Bohr magnetons per cell
# Calculated density   11.4 g/cm³
# Excess energy over the best structure of this formula in the dataset   0 meV per atom
# Volume   732.9 Å³ per cell
# DFT formation energy   -906 meV/atom
data_Dy2Ga5Pt3
_symmetry_space_group_name_H-M 'C m c 21'
_symmetry_Int_Tables_number 36
_cell_length_a 4.3457
_cell_length_b 24.8784
_cell_length_c 6.7789
_cell_angle_alpha 90.00
_cell_angle_beta 90.00
_cell_angle_gamma 90.00
loop_
_symmetry_equiv_pos_as_xyz
'x,y,z'
'-x,-y,z+1/2'
'-x,y,z'
'x,-y,z+1/2'
'x+1/2,y+1/2,z'
'-x+1/2,-y+1/2,z+1/2'
'-x+1/2,y+1/2,z'
'x+1/2,-y+1/2,z+1/2'
loop_
_atom_site_label
_atom_site_fract_x
_atom_site_fract_y
_atom_site_fract_z
Dy1 0.0000 0.0166 0.0000
Dy2 0.0000 0.3253 0.9763
Ga1 0.0000 0.1037 0.6591
Ga2 0.0000 0.2062 0.1726
Ga3 0.0000 0.2077 0.7647
Ga4 0.0000 0.3772 0.5072
Ga5 0.0000 0.4489 0.8221
Pt1 0.0000 0.1061 0.2656
Pt2 0.0000 0.2743 0.4665
Pt3 0.0000 0.4487 0.2162

***

# PBE Ca5TmS6, relaxed
# Spin magnetization   0.00 Bohr magnetons per cell
# Calculated density   3.4 g/cm³
# Volume   541.3 Å³ per cell
# ΔE_f (raw)   -2.110 eV/atom
data_Ca5TmS6
_symmetry_space_group_name_H-M 'C 1 2/m 1'
_symmetry_Int_Tables_number 12
_cell_length_a 6.9224
_cell_length_b 11.9840
_cell_length_c 6.9221
_cell_angle_alpha 90.00
_cell_angle_beta 109.50
_cell_angle_gamma 90.00
loop_
_symmetry_equiv_pos_as_xyz
'x,y,z'
'-x,-y,-z'
'-x,y,-z'
'x,-y,z'
'x+1/2,y+1/2,z'
'-x+1/2,-y+1/2,-z'
'-x+1/2,y+1/2,-z'
'x+1/2,-y+1/2,z'
loop_
_atom_site_label
_atom_site_fract_x
_atom_site_fract_y
_atom_site_fract_z
Ca1 0.0000 0.0000 0.0000
Ca2 0.0000 0.1664 0.5000
Ca3 0.0000 0.3316 0.0000
Tm1 0.0000 0.5000 0.5000
S1 0.2423 0.5000 0.2553
S2 0.2437 0.3378 0.7447

***

# PBE MnGa3Br, relaxed
# Spin magnetization   4.38 Bohr magnetons per cell
# Calculated density   2.6 g/cm³
# Volume   220.6 Å³ per cell
# ΔE_f (raw)   0.919 eV/atom
data_MnGa3Br
_symmetry_space_group_name_H-M 'P m -3 m'
_symmetry_Int_Tables_number 221
_symmetry_space_group_name_Hall '-P 4 2 3'
_cell_length_a 6.0422
_cell_length_b 6.0422
_cell_length_c 6.0422
_cell_angle_alpha 90.00
_cell_angle_beta 90.00
_cell_angle_gamma 90.00
loop_
_atom_site_label
_atom_site_fract_x
_atom_site_fract_y
_atom_site_fract_z
Mn1 0.0000 0.0000 0.0000
Ga1 0.0000 0.5000 0.5000
Br1 0.5000 0.5000 0.5000

***

# PBE CaTc2Hg, relaxed
# Spin magnetization   0.47 Bohr magnetons per cell
# Calculated density   8.6 g/cm³
# Volume   84.7 Å³ per cell
# DFT formation energy   687 meV/atom
data_CaTc2Hg
_symmetry_space_group_name_H-M 'P 4/m m m'
_symmetry_Int_Tables_number 123
_symmetry_space_group_name_Hall '-P 4 2'
_cell_length_a 3.6243
_cell_length_b 3.6243
_cell_length_c 6.4446
_cell_angle_alpha 90.00
_cell_angle_beta 90.00
_cell_angle_gamma 90.00
loop_
_atom_site_label
_atom_site_fract_x
_atom_site_fract_y
_atom_site_fract_z
Ca1 0.0000 0.0000 0.0000
Tc1 0.5000 0.5000 0.3212
Hg1 0.0000 0.0000 0.5000

***

> What is the formula in the fourth record?

Ca5TmS6